No. 1
VASP calculation (PBE-GGA) on KZn2AgBr6 after structural relaxation.

Output
DOS(E_F) ... 0.00 states/eV/f.u.

Cell lengths 9.981, 9.981, 7.376 Å; angles 102.51, 102.51, 89.53 degrees
Fractional coordinates of all 20 atoms:
K: 0.115 0.885 0.750
K: 0.885 0.115 0.250
Zn: 0.229 0.374 0.783
Zn: 0.374 0.229 0.283
Zn: 0.626 0.771 0.717
Zn: 0.771 0.626 0.217
Ag: 0.263 0.737 0.250
Ag: 0.737 0.263 0.750
Br: 0.041 0.207 0.694
Br: 0.147 0.599 0.915
Br: 0.207 0.041 0.194
Br: 0.306 0.425 0.503
Br: 0.401 0.853 0.585
Br: 0.425 0.306 0.003
Br: 0.575 0.694 0.997
Br: 0.599 0.147 0.415
Br: 0.694 0.575 0.497
Br: 0.793 0.959 0.806
Br: 0.853 0.401 0.085
Br: 0.959 0.793 0.306



No. 2
VASP calculation (PBE-GGA) on LaAgBr2 after structural relaxation.

Output
DOS(E_F) ... 0.00 states/eV/f.u.

Cell lengths 5.303, 5.303, 5.303 Å; angles 60.00, 60.00, 60.00 degrees
Fractional coordinates of all 4 atoms:
La: 0.000 0.000 0.000
Ag: 0.500 0.500 0.500
Br: 0.250 0.250 0.250
Br: 0.750 0.750 0.750



Number 1: spin magnetization 0.000 μB/f.u., E -2.587 eV per atom. Number 2: spin magnetization 0.000 μB/f.u., E -3.723 eV per atom.